Here is TiAlAs2Pb after structural relaxation from Alexandria. Energies are from GGA-PBEsol.

E_tot	-5.1786	eV per atom
ΔH_f (0 K)	0.73	eV per formula unit
volume	23.54	Å³/atom
space group	P4/mmm, No. 123
size of the total moment	0.00	μB/f.u.

Unit cell a=4.853 b=4.853 c=4.999 alpha=90.00 beta=90.00 gamma=90.00
Fractional positions:
As  0.000  0.500  0.000
As  0.500  0.000  0.000
Pb  0.500  0.500  0.500
Al  0.000  0.000  0.500
Ti  0.000  0.000  0.000

---

Here is BaY2As after structural relaxation from Alexandria. Energies are from GGA-PBEsol.

E_tot	-5.7774	eV per atom
ΔH_f (0 K)	-2.21	eV per formula unit
volume	31.59	Å³/atom
space group	Immm, No. 71
size of the total moment	0.00	μB/f.u.

Unit cell a=3.742 b=5.883 c=6.716 alpha=115.97 beta=106.18 gamma=90.00
Fractional positions:
Y  0.186  0.186  0.372
Y  0.814  0.814  0.628
As  0.500  0.000  0.000
Ba  0.000  0.500  0.000

---

Here is AlPOs2Rh after structural relaxation from Alexandria. Energies are from GGA-PBEsol.

E_tot	-7.6042	eV per atom
ΔH_f (0 K)	4.43	eV per formula unit
volume	15.89	Å³/atom
space group	P4/mmm, No. 123
size of the total moment	0.00	μB/f.u.

Unit cell a=4.250 b=4.250 c=4.398 alpha=90.00 beta=90.00 gamma=90.00
Fractional positions:
Al  0.000  0.000  0.500
Os  0.000  0.500  0.000
Rh  0.500  0.500  0.500
P  0.000  0.000  0.000
Os  0.500  0.000  0.000

---

Here is DySbIr after structural relaxation from Alexandria. Energies are from GGA-PBEsol.

E_tot	-7.3706	eV per atom
volume	20.62	Å³/atom
space group	Pnma, No. 62
size of the total moment	0.00	μB/f.u.
E_form (uncorrected)	-0.92	eV/atom

Unit cell a=4.479 b=7.070 c=7.814 alpha=90.00 beta=90.00 gamma=90.00
Fractional positions:
Sb  0.750  0.822  0.088
Ir  0.750  0.709  0.412
Sb  0.750  0.322  0.412
Sb  0.250  0.678  0.588
Ir  0.750  0.209  0.088
Dy  0.250  0.011  0.307
Sb  0.250  0.178  0.912
Ir  0.250  0.291  0.588
Dy  0.250  0.511  0.193
Ir  0.250  0.791  0.912
Dy  0.750  0.489  0.807
Dy  0.750  0.989  0.693

---

Here is Ba2MnZn2As2O2 after structural relaxation from Alexandria. Energies are from GGA-PBEsol.

E_tot	-5.4771	eV per atom
volume	18.76	Å³/atom
space group	I4/mmm, No. 139
size of the total moment	4.64	μB/f.u.
E_form (uncorrected)	-1.26	eV/atom

Unit cell a=4.166 b=4.166 c=10.164 alpha=101.83 beta=101.83 gamma=90.00
Site moments in Bohr magnetons follow the coordinates.
Fractional positions:
Zn  0.250  0.750  0.500  0.01
O  0.000  0.500  0.000  0.07
Ba  0.407  0.407  0.815  0.00
Zn  0.750  0.250  0.500  0.01
Ba  0.593  0.593  0.185  0.00
As  0.826  0.826  0.652  0.02
Mn  0.000  0.000  0.000  4.08
As  0.174  0.174  0.348  0.02
O  0.500  0.000  0.000  0.07

---

Here is KBa2In2 after structural relaxation from Alexandria. Energies are from GGA-PBEsol.

E_tot	-2.5253	eV per atom
ΔH_f (0 K)	-1.23	eV per formula unit
volume	40.52	Å³/atom
space group	P4/mbm, No. 127
size of the total moment	0.00	μB/f.u.

Unit cell a=4.118 b=9.919 c=9.919 alpha=90.00 beta=90.00 gamma=90.00
Fractional positions:
Ba  0.500  0.823  0.323
In  0.000  0.886  0.614
K  0.000  0.000  0.000
K  0.000  0.500  0.500
In  0.000  0.614  0.114
In  0.000  0.386  0.886
In  0.000  0.114  0.386
Ba  0.500  0.323  0.177
Ba  0.500  0.177  0.677
Ba  0.500  0.677  0.823

---

Here is LiLa2W after structural relaxation from Alexandria. Energies are from GGA-PBEsol.

E_tot	-5.9918	eV per atom
energy above the lowest structure with this stoichiometry	36.4	meV/atom
ΔH_f (0 K)	2.50	eV per formula unit
volume	22.51	Å³/atom
space group	I-4m2, No. 119
size of the total moment	0.00	μB/f.u.

Unit cell a=4.393 b=4.393 c=5.605 alpha=113.07 beta=113.07 gamma=90.00
Fractional positions:
La  0.750  0.250  0.500
Li  0.500  0.500  0.000
W  0.250  0.750  0.500
La  0.000  0.000  0.000

---

Here is ScCoGe after structural relaxation from Alexandria. Energies are from GGA-PBEsol.

E_tot	-7.2190	eV per atom
ΔH_f (0 K)	-2.38	eV per formula unit
volume	14.83	Å³/atom
space group	Pnma, No. 62
size of the total moment	0.00	μB/f.u.

Unit cell a=4.020 b=6.417 c=6.900 alpha=90.00 beta=90.00 gamma=90.00
Fractional positions:
Sc  0.750  0.996  0.800
Sc  0.750  0.496  0.700
Ge  0.750  0.287  0.109
Ge  0.750  0.787  0.391
Co  0.750  0.153  0.439
Ge  0.250  0.213  0.609
Co  0.250  0.347  0.939
Sc  0.250  0.004  0.200
Ge  0.250  0.713  0.891
Co  0.250  0.847  0.561
Co  0.750  0.653  0.061
Sc  0.250  0.504  0.300

---

Here is Tl2SiAg after structural relaxation from Alexandria. Energies are from GGA-PBEsol.

E_tot	-3.2062	eV per atom
energy above the lowest structure with this stoichiometry	148.9	meV/atom
volume	21.68	Å³/atom
space group	Cmmm, No. 65
size of the total moment	0.00	μB/f.u.
E_form (uncorrected)	0.37	eV/atom

Unit cell a=3.184 b=3.184 c=8.683 alpha=90.00 beta=90.00 gamma=99.80
Fractional positions:
Tl  0.000  0.000  0.749
Si  0.500  0.500  0.000
Tl  0.000  0.000  0.251
Ag  0.500  0.500  0.500

---

Here is TaPRu2 after structural relaxation from Alexandria. Energies are from GGA-PBEsol.

E_tot	-10.0848	eV per atom
ΔH_f (0 K)	-1.65	eV per formula unit
volume	14.04	Å³/atom
space group	Cm, No. 8
size of the total moment	0.00	μB/f.u.

Unit cell a=2.966 b=4.487 c=4.988 alpha=116.25 beta=107.30 gamma=90.00
Fractional positions:
P  0.261  0.844  0.521
Ta  0.529  0.497  0.058
Ru  0.964  0.933  0.929
Ru  0.746  0.226  0.492

---

Copy entry 1 word for word.
Here is TiAlAs2Pb after structural relaxation from Alexandria. Energies are from GGA-PBEsol.

E_tot	-5.1786	eV per atom
ΔH_f (0 K)	0.73	eV per formula unit
volume	23.54	Å³/atom
space group	P4/mmm, No. 123
size of the total moment	0.00	μB/f.u.

Unit cell a=4.853 b=4.853 c=4.999 alpha=90.00 beta=90.00 gamma=90.00
Fractional positions:
As  0.000  0.500  0.000
As  0.500  0.000  0.000
Pb  0.500  0.500  0.500
Al  0.000  0.000  0.500
Ti  0.000  0.000  0.000

---

Which value of volume does entry 3 give?
15.89 Å³/atom

---

Which value of volume does entry 5 give?
18.76 Å³/atom

---

volume of number 9 (Tl2SiAg)?
21.68 Å³/atom